w | Here is a relaxed Ac3SnPd crystal from Alexandria. Energies are from PBE.

Computed properties:
Total magnetization   0.0 Bohr magnetons per cell

Cell lengths 5.822, 5.822, 5.822 Å; angles 90.00, 90.00, 90.00 degrees
Atoms (fractional coordinates):
1 Ac 0.000 0.000 0.500
2 Ac 0.000 0.500 0.000
3 Ac 0.500 0.000 0.000
4 Sn 0.500 0.500 0.500
5 Pd 0.000 0.000 0.000

---

x | Here is a relaxed Ac3SnPd crystal from Alexandria. Energies are from PBE.

Computed properties:
Total magnetization   0.0 Bohr magnetons per cell

Cell lengths 9.169, 9.169, 8.698 Å; angles 90.00, 90.00, 81.31 degrees
Atoms (fractional coordinates):
1 Ac 0.014 0.693 0.410
2 Ac 0.075 0.925 0.808
3 Ac 0.193 0.514 0.910
4 Ac 0.307 0.986 0.410
5 Ac 0.425 0.575 0.308
6 Ac 0.486 0.807 0.910
7 Ac 0.514 0.193 0.090
8 Ac 0.575 0.425 0.692
9 Ac 0.693 0.014 0.590
10 Ac 0.807 0.486 0.090
11 Ac 0.925 0.075 0.192
12 Ac 0.986 0.307 0.590
13 Sn 0.162 0.338 0.250
14 Sn 0.338 0.162 0.750
15 Sn 0.662 0.838 0.250
16 Sn 0.838 0.662 0.750
17 Pd 0.193 0.807 0.126
18 Pd 0.307 0.693 0.626
19 Pd 0.693 0.307 0.374
20 Pd 0.807 0.193 0.874

---

It is x that is the most stable of them.

---

w | Here is a relaxed Sr2AcPd crystal from Alexandria. Energies are from PBE.

Computed properties:
Total magnetization   0.0 Bohr magnetons per cell

Cell lengths 3.858, 3.858, 9.917 Å; angles 90.00, 90.00, 90.00 degrees
Atoms (fractional coordinates):
1 Sr 0.000 0.000 0.180
2 Sr 0.000 0.000 0.820
3 Ac 0.500 0.500 0.500
4 Pd 0.500 0.500 0.000

---

x | Here is a relaxed Sr2AcPd crystal from Alexandria. Energies are from PBE.

Computed properties:
Total magnetization   0.0 Bohr magnetons per cell

Cell lengths 4.376, 18.103, 4.376 Å; angles 90.00, 90.00, 90.00 degrees
Atoms (fractional coordinates):
1 Sr 0.000 0.080 0.000
2 Sr 0.000 0.758 0.001
3 Sr 0.500 0.242 0.501
4 Sr 0.500 0.920 0.500
5 Ac 0.000 0.417 0.002
6 Ac 0.500 0.583 0.502
7 Pd 0.000 0.588 0.002
8 Pd 0.500 0.412 0.502

---

It is x that is the most stable of them.

---

w | Here is a relaxed SrAcPd3 crystal from Alexandria. Energies are from PBE.

Computed properties:
Total magnetization   0.0 Bohr magnetons per cell

Cell lengths 13.799, 13.799, 4.579 Å; angles 90.00, 90.00, 162.78 degrees
Atoms (fractional coordinates):
1 Sr 0.204 0.796 0.750
2 Sr 0.796 0.204 0.250
3 Ac 0.073 0.927 0.250
4 Ac 0.927 0.073 0.750
5 Pd 0.326 0.674 0.750
6 Pd 0.380 0.620 0.250
7 Pd 0.476 0.524 0.250
8 Pd 0.524 0.476 0.750
9 Pd 0.620 0.380 0.750
10 Pd 0.674 0.326 0.250

---

x | Here is a relaxed SrAcPd3 crystal from Alexandria. Energies are from PBE.

Computed properties:
Total magnetization   0.0 Bohr magnetons per cell

Cell lengths 13.676, 13.676, 4.536 Å; angles 90.00, 90.00, 162.06 degrees
Atoms (fractional coordinates):
1 Sr 0.068 0.932 0.750
2 Sr 0.932 0.068 0.250
3 Ac 0.200 0.800 0.250
4 Ac 0.800 0.200 0.750
5 Pd 0.318 0.682 0.250
6 Pd 0.378 0.622 0.750
7 Pd 0.475 0.525 0.750
8 Pd 0.525 0.475 0.250
9 Pd 0.622 0.378 0.250
10 Pd 0.682 0.318 0.750

---

It is w that is the most stable of them.

---

w | Here is a relaxed SrAcPd2 crystal from Alexandria. Energies are from PBE.

Computed properties:
Total magnetization   0.0 Bohr magnetons per cell

Cell lengths 7.718, 7.718, 7.718 Å; angles 33.01, 33.01, 33.01 degrees
Atoms (fractional coordinates):
1 Sr 0.000 0.000 0.000
2 Ac 0.500 0.500 0.500
3 Pd 0.246 0.246 0.246
4 Pd 0.754 0.754 0.754

---

x | Here is a relaxed SrAcPd2 crystal from Alexandria. Energies are from PBE.

Computed properties:
Total magnetization   0.0 Bohr magnetons per cell

Cell lengths 7.997, 7.997, 7.997 Å; angles 31.19, 31.19, 31.19 degrees
Atoms (fractional coordinates):
1 Sr 0.000 0.000 0.000
2 Ac 0.172 0.172 0.172
3 Pd 0.584 0.584 0.584
4 Pd 0.757 0.757 0.757

---

It is w that is the most stable of them.

---

w | Here is a relaxed SrAc3Pd3 crystal from Alexandria. Energies are from PBE.

Computed properties:
Total magnetization   0.0 Bohr magnetons per cell

Cell lengths 6.645, 6.645, 6.645 Å; angles 110.65, 110.65, 110.65 degrees
Atoms (fractional coordinates):
1 Sr 0.000 0.000 0.000
2 Ac 0.416 0.416 0.845
3 Ac 0.416 0.845 0.416
4 Ac 0.845 0.416 0.416
5 Pd 0.400 0.896 0.896
6 Pd 0.896 0.400 0.896
7 Pd 0.896 0.896 0.400

---

x | Here is a relaxed SrAc3Pd3 crystal from Alexandria. Energies are from PBE.

Computed properties:
Total magnetization   0.0 Bohr magnetons per cell

Cell lengths 8.835, 8.835, 6.191 Å; angles 90.00, 90.00, 89.76 degrees
Atoms (fractional coordinates):
1 Sr 0.125 0.875 0.750
2 Sr 0.875 0.125 0.250
3 Ac 0.130 0.384 0.750
4 Ac 0.383 0.617 0.250
5 Ac 0.384 0.130 0.250
6 Ac 0.616 0.870 0.750
7 Ac 0.617 0.383 0.750
8 Ac 0.870 0.616 0.250
9 Pd 0.128 0.374 0.250
10 Pd 0.372 0.628 0.750
11 Pd 0.374 0.128 0.750
12 Pd 0.626 0.872 0.250
13 Pd 0.628 0.372 0.250
14 Pd 0.872 0.626 0.750

---

It is x that is the most stable of them.

---

w | Here is a relaxed SrAc2Pd2 crystal from Alexandria. Energies are from PBE.

Computed properties:
Total magnetization   0.0 Bohr magnetons per cell

Cell lengths 8.422, 8.422, 4.347 Å; angles 90.00, 90.00, 90.00 degrees
Atoms (fractional coordinates):
1 Sr 0.000 0.000 0.000
2 Sr 0.500 0.500 0.000
3 Ac 0.163 0.337 0.500
4 Ac 0.337 0.837 0.500
5 Ac 0.663 0.163 0.500
6 Ac 0.837 0.663 0.500
7 Pd 0.129 0.629 0.000
8 Pd 0.371 0.129 0.000
9 Pd 0.629 0.871 0.000
10 Pd 0.871 0.371 0.000

---

x | Here is a relaxed SrAc2Pd2 crystal from Alexandria. Energies are from PBE.

Computed properties:
Total magnetization   0.0 Bohr magnetons per cell

Cell lengths 6.127, 4.701, 11.875 Å; angles 90.00, 100.10, 90.00 degrees
Atoms (fractional coordinates):
1 Sr 0.049 0.250 0.289
2 Sr 0.951 0.750 0.711
3 Ac 0.270 0.750 0.040
4 Ac 0.386 0.250 0.616
5 Ac 0.614 0.750 0.384
6 Ac 0.730 0.250 0.960
7 Pd 0.157 0.750 0.478
8 Pd 0.205 0.250 0.874
9 Pd 0.795 0.750 0.126
10 Pd 0.843 0.250 0.522

---

It is w that is the most stable of them.

---

w | Here is a relaxed SrAcTlPd crystal from Alexandria. Energies are from PBE.

Computed properties:
Total magnetization   0.0 Bohr magnetons per cell

Cell lengths 5.581, 5.581, 5.581 Å; angles 60.00, 60.00, 60.00 degrees
Atoms (fractional coordinates):
1 Sr 0.000 0.000 0.000
2 Ac 0.500 0.500 0.500
3 Tl 0.750 0.750 0.750
4 Pd 0.250 0.250 0.250

---

x | Here is a relaxed SrAcTlPd crystal from Alexandria. Energies are from PBE.

Computed properties:
Total magnetization   0.0 Bohr magnetons per cell

Cell lengths 4.410, 7.066, 7.066 Å; angles 36.25, 90.00, 90.00 degrees
Atoms (fractional coordinates):
1 Sr 0.000 0.000 0.000
2 Ac 0.500 0.707 0.707
3 Tl 0.500 0.407 0.407
4 Pd 0.000 0.250 0.250

---

It is x that is the most stable of them.

---

w | Here is a relaxed AcTbPd2 crystal from Alexandria. Energies are from PBE.

Computed properties:
Total magnetization   0.0 Bohr magnetons per cell

Cell lengths 7.641, 7.641, 7.641 Å; angles 31.83, 31.83, 31.83 degrees
Atoms (fractional coordinates):
1 Ac 0.000 0.000 0.000
2 Tb 0.827 0.827 0.827
3 Pd 0.239 0.239 0.239
4 Pd 0.421 0.421 0.421

---

x | Here is a relaxed AcTbPd2 crystal from Alexandria. Energies are from PBE.

Computed properties:
Total magnetization   0.0 Bohr magnetons per cell

Cell lengths 5.200, 5.200, 5.200 Å; angles 60.00, 60.00, 60.00 degrees
Atoms (fractional coordinates):
1 Ac 0.000 0.000 0.000
2 Tb 0.500 0.500 0.500
3 Pd 0.250 0.250 0.250
4 Pd 0.750 0.750 0.750

---

y | Here is a relaxed AcTbPd2 crystal from Alexandria. Energies are from PBE.

Computed properties:
Total magnetization   0.0 Bohr magnetons per cell

Cell lengths 4.663, 5.883, 5.883 Å; angles 39.35, 90.00, 90.00 degrees
Atoms (fractional coordinates):
1 Ac 0.000 0.000 0.000
2 Tb 0.500 0.271 0.271
3 Pd 0.000 0.727 0.727
4 Pd 0.500 0.557 0.557

---

z | Here is a relaxed AcTbPd2 crystal from Alexandria. Energies are from PBE.

Computed properties:
Total magnetization   0.0 Bohr magnetons per cell

Cell lengths 3.671, 3.671, 7.297 Å; angles 90.00, 90.00, 90.00 degrees
Atoms (fractional coordinates):
1 Ac 0.000 0.000 0.000
2 Tb 0.000 0.000 0.500
3 Pd 0.500 0.500 0.284
4 Pd 0.500 0.500 0.716

---

It is y that is the most stable of them.